[1]
## ErTlPb2Br8 (GGA-PBE)

Data for a relaxed ErTlPb2Br8 crystal.

## Properties
raw formation energy: -14.4 eV/f.u.
size of the total moment: 0.0 μB/f.u.
E_tot: -3.513 eV per atom

Unit cell a=7.2339 b=6.8615 c=9.2365 alpha=89.98 beta=89.99 gamma=89.06
With the nearest neighbours (Å) after each atom.
Positions (direct):
Br 0.6826 0.7641 0.9999  1 Er 2.83
Er 0.0000 0.0000 0.0000  6 Br 2.79-2.83
Pb 0.5000 0.5001 0.2493  6 Br 2.97-3.23
Tl 0.0000 0.0000 0.5000  6 Br 3.26-3.28
Br 0.6320 0.7312 0.4999  2 Pb 2.97, 1 Tl 3.26
Br 0.3174 0.2359 0.0001  1 Er 2.83
Br 0.8459 0.2370 0.2146  1 Er 2.79, 1 Pb 3.08
Br 0.1537 0.7627 0.2147  1 Er 2.79, 1 Pb 3.08
Br 0.3680 0.2688 0.5001  2 Pb 2.97, 1 Tl 3.26
Pb 0.5000 0.4999 0.7507  6 Br 2.97-3.23
Br 0.1541 0.7630 0.7854  1 Er 2.79, 1 Pb 3.08
Br 0.8463 0.2373 0.7853  1 Er 2.79, 1 Pb 3.08

[2]
## PmErBr6 (GGA-PBE)

Data for a relaxed PmErBr6 crystal.

## Properties
raw formation energy: -14.7 eV/f.u.
size of the total moment: 0.0 μB/f.u.
E_tot: -4.256 eV per atom
ΔE to the lowest computed polymorph: 0.000 eV per atom

Unit cell a=7.0264 b=7.0266 c=7.6460 alpha=62.65 beta=82.29 gamma=73.02
With the nearest neighbours (Å) after each atom.
Positions (direct):
Br 0.2581 0.5992 0.2843  1 Er 2.79, 1 Pm 2.90
Er 0.5000 0.5000 0.0000  6 Br 2.78-2.79
Br 0.7419 0.1165 0.2843  1 Er 2.79, 1 Pm 2.90
Pm 0.0000 0.0000 0.0000  6 Br 2.87-2.90
Br 0.2547 0.2534 0.0000  1 Er 2.78, 1 Pm 2.87
Br 0.2581 0.8835 0.7157  1 Er 2.79, 1 Pm 2.90
Br 0.7453 0.7466 0.0000  1 Er 2.78, 1 Pm 2.87
Br 0.7419 0.4008 0.7157  1 Er 2.79, 1 Pm 2.90

[3]
## PmErBr3 (GGA-PBE)

Data for a relaxed PmErBr3 crystal.

## Properties
raw formation energy: -7.5 eV/f.u.
size of the total moment: 0.0 μB/f.u.
E_tot: -4.371 eV per atom

Unit cell a=3.9192 b=9.4341 c=10.1383 alpha=72.54 beta=78.86 gamma=78.01
With the nearest neighbours (Å) after each atom.
Positions (direct):
Er 0.4292 0.1829 0.9587  4 Br 2.88-2.92
Br 0.6648 0.1785 0.4918  3 Pm 3.03-3.05
Br 0.2104 0.6947 0.8845  2 Er 2.92, 1 Pm 2.94
Br 0.0353 0.6797 0.2496  2 Er 2.88, 1 Pm 2.98
Br 0.3352 0.8215 0.5082  3 Pm 3.03-3.05
Br 0.9647 0.3203 0.7504  2 Er 2.88, 1 Pm 2.98
Er 0.5708 0.8171 0.0413  4 Br 2.88-2.92
Pm 0.8625 0.9899 0.2852  5 Br 2.94-3.05
Pm 0.1375 0.0101 0.7148  5 Br 2.94-3.05
Br 0.7896 0.3053 0.1155  2 Er 2.92, 1 Pm 2.94

[4]
## PmErBr6 (GGA-PBE)

Data for a relaxed PmErBr6 crystal.

## Properties
raw formation energy: -14.6 eV/f.u.
size of the total moment: 0.0 μB/f.u.
E_tot: -4.240 eV per atom
ΔE to the lowest computed polymorph: 0.017 eV per atom

Unit cell a=7.1170 b=7.1166 c=7.6592 alpha=62.32 beta=62.32 gamma=60.00
With the nearest neighbours (Å) after each atom.
Positions (direct):
Br 0.2566 0.9017 0.2542  1 Er 2.79, 1 Pm 2.89
Br 0.5875 0.2566 0.2543  1 Er 2.79, 1 Pm 2.89
Br 0.7434 0.0983 0.7458  1 Er 2.79, 1 Pm 2.89
Br 0.0983 0.4126 0.7457  1 Er 2.79, 1 Pm 2.89
Pm 0.0000 0.0000 0.0000  6 Br 2.89
Br 0.4125 0.7434 0.7457  1 Er 2.79, 1 Pm 2.89
Br 0.9017 0.5874 0.2543  1 Er 2.79, 1 Pm 2.89
Er 0.5000 0.5000 0.5000  6 Br 2.79

[5]
## PrEr2Br (GGA-PBE)

Data for a relaxed PrEr2Br crystal.

## Properties
raw formation energy: -0.9 eV/f.u.
size of the total moment: 0.0 μB/f.u.
E_tot: -4.120 eV per atom

Unit cell a=3.4939 b=3.4939 c=11.6593 alpha=81.38 beta=81.38 gamma=60.00
With the nearest neighbours (Å) after each atom.
Positions (direct):
Pr 0.0000 0.0000 0.0000  2 Er 3.39, 6 Pr 3.49
Er 0.0985 0.0985 0.7045  3 Br 3.10, 1 Pr 3.39
Br 0.5000 0.5000 0.5000  6 Er 3.10
Er 0.9015 0.9015 0.2955  3 Br 3.10, 1 Pr 3.39

[6]
## PrErRhBr (GGA-PBE)

Data for a relaxed PrErRhBr crystal.

## Properties
raw formation energy: -4.2 eV/f.u.
size of the total moment: 0.0 μB/f.u.
E_tot: -5.652 eV per atom

Unit cell a=4.0418 b=4.0415 c=8.1705 alpha=89.99 beta=104.32 gamma=120.01
With the nearest neighbours (Å) after each atom.
Positions (direct):
Br 0.9623 0.3796 0.3563  3 Er 3.29, 3 Pr 3.41
Pr 0.5069 0.1514 0.6737  3 Rh 2.84
Rh 0.3112 0.5534 0.8801  3 Er 2.72, 3 Pr 2.84
Er 0.0975 0.9464 0.0596  3 Rh 2.72

[7]
## PrErSe2Br (GGA-PBE)

Data for a relaxed PrErSe2Br crystal.

## Properties
raw formation energy: -8.2 eV/f.u.
size of the total moment: 0.0 μB/f.u.
E_tot: -5.245 eV per atom

Unit cell a=4.2840 b=4.2840 c=14.1391 alpha=90.00 beta=90.00 gamma=90.00
With the nearest neighbours (Å) after each atom.
Positions (direct):
Se 0.5000 0.0000 0.2897  1 Er 2.82, 4 Pr 3.12
Se 0.0000 0.5000 0.7103  1 Er 2.82, 4 Pr 3.12
Se 0.5000 0.0000 0.8878  5 Er 2.86-3.05
Se 0.0000 0.5000 0.1122  5 Er 2.86-3.05
Pr 0.0000 0.5000 0.3428  4 Br 3.09, 5 Se 3.12-3.26
Br 0.5000 0.5000 0.5000  4 Br 3.03, 4 Pr 3.09
Er 0.5000 0.0000 0.0901  6 Se 2.82-3.05
Er 0.0000 0.5000 0.9099  6 Se 2.82-3.05
Br 0.0000 0.0000 0.5000  4 Br 3.03, 4 Pr 3.09
Pr 0.5000 0.0000 0.6572  4 Br 3.09, 5 Se 3.12-3.26

[8]
## ErPtBr (GGA-PBE)

Data for a relaxed ErPtBr crystal.

## Properties
raw formation energy: -4.0 eV/f.u.
size of the total moment: 0.0 μB/f.u.
E_tot: -5.413 eV per atom

Unit cell a=4.0034 b=7.7510 c=11.5852 alpha=93.89 beta=99.95 gamma=90.00
With the nearest neighbours (Å) after each atom.
Positions (direct):
Br 0.0938 0.3431 0.1876  4 Er 3.15-3.19
Pt 0.7494 0.8739 0.4989  4 Er 2.78-2.82, 4 Pt 2.79-2.80
Er 0.6610 0.6002 0.3221  4 Pt 2.78-2.84, 1 Br 2.82
Er 0.3352 0.8853 0.6703  4 Pt 2.78-2.80, 1 Br 2.84
Pt 0.2506 0.1261 0.5011  4 Er 2.78-2.82, 4 Pt 2.79-2.80
Er 0.6648 0.1147 0.3297  4 Pt 2.78-2.80, 1 Br 2.84
Br 0.5745 0.8433 0.1490  2 Er 2.82-2.84
Br 0.4255 0.1567 0.8510  2 Er 2.82-2.84
Pt 0.7545 0.3771 0.5089  4 Er 2.78-2.84, 4 Pt 2.78-2.79
Br 0.9062 0.6569 0.8124  4 Er 3.15-3.19
Er 0.3390 0.3998 0.6779  4 Pt 2.78-2.84, 1 Br 2.82
Pt 0.2455 0.6229 0.4911  4 Er 2.78-2.84, 4 Pt 2.78-2.79